Compound: LiAcErTe3
Source: the Alexandria database
Functional: PBE
Structure: relaxed

mass density = 6.9 g/cm3
formation energy (no corrections) = -1324 meV per atom
crystal system = monoclinic

Unit cell a=4.394 b=9.122 c=9.729 alpha=104.74 beta=90.00 gamma=90.00
Fractional coordinates of all 12 atoms:
1 Li 0.250 0.087 0.588
2 Li 0.750 0.913 0.412
3 Ac 0.250 0.193 0.236
4 Ac 0.750 0.807 0.764
5 Er 0.250 0.668 0.154
6 Er 0.750 0.332 0.846
7 Te 0.750 0.899 0.128
8 Te 0.250 0.101 0.872
9 Te 0.250 0.770 0.487
10 Te 0.750 0.230 0.513
11 Te 0.750 0.444 0.174
12 Te 0.250 0.556 0.826

---

Compound: Na2PCl6
Source: the Alexandria database
Functional: PBE
Structure: relaxed

mass density = 2.1 g/cm3
formation energy (no corrections) = -987 meV per atom
crystal system = tetragonal

Unit cell a=6.280 b=6.280 c=11.828 alpha=90.00 beta=90.00 gamma=90.00
Each line ends with the local moment (μB).
Fractional coordinates of all 18 atoms:
1 Na 0.000 0.000 0.334  0.00
2 Na 0.500 0.500 0.834  0.00
3 Na 0.500 0.500 0.166  0.00
4 Na 0.000 0.000 0.666  0.00
5 P 0.000 0.000 0.000  0.15
6 P 0.500 0.500 0.500  0.15
7 Cl 0.320 0.320 0.360  0.07
8 Cl 0.680 0.680 0.360  0.07
9 Cl 0.180 0.820 0.860  0.07
10 Cl 0.820 0.180 0.860  0.07
11 Cl 0.180 0.820 0.140  0.07
12 Cl 0.820 0.180 0.140  0.07
13 Cl 0.320 0.320 0.640  0.07
14 Cl 0.680 0.680 0.640  0.07
15 Cl 0.260 0.260 0.000  0.06
16 Cl 0.740 0.740 0.000  0.06
17 Cl 0.240 0.760 0.500  0.06
18 Cl 0.760 0.240 0.500  0.06

---

Compound: Cs3Na2Cd8
Source: the Alexandria database
Functional: PBE
Structure: relaxed

formation energy = -0.04 eV per atom
mass density = 4.9 g/cm3
crystal system = triclinic

Unit cell a=9.628 b=6.030 c=14.483 alpha=77.18 beta=34.19 gamma=73.54
Fractional coordinates of all 13 atoms:
1 Cs 0.000 0.000 0.000
2 Cs 0.236 0.228 0.328
3 Cs 0.764 0.772 0.672
4 Na 0.371 0.460 0.737
5 Na 0.629 0.540 0.263
6 Cd 0.239 0.368 0.040
7 Cd 0.761 0.632 0.960
8 Cd 0.263 0.859 0.589
9 Cd 0.734 0.166 0.870
10 Cd 0.207 0.358 0.629
11 Cd 0.266 0.834 0.130
12 Cd 0.737 0.141 0.411
13 Cd 0.793 0.642 0.371

---

Compound: LiMg3H6Ir2
Source: the Alexandria database
Functional: PBE
Structure: relaxed

mass density = 6.7 g/cm3
crystal system = trigonal

Unit cell a=4.757 b=4.757 c=5.905 alpha=90.00 beta=90.00 gamma=120.00
Fractional coordinates of all 12 atoms:
1 Li 0.000 0.000 0.500
2 Mg 0.333 0.667 0.708
3 Mg 0.667 0.333 0.292
4 Mg 0.000 0.000 0.000
5 H 0.674 0.837 0.310
6 H 0.163 0.326 0.310
7 H 0.163 0.837 0.310
8 H 0.837 0.674 0.690
9 H 0.326 0.163 0.690
10 H 0.837 0.163 0.690
11 Ir 0.667 0.333 0.837
12 Ir 0.333 0.667 0.163

---

Compound: AlRh
Source: the Alexandria database
Functional: PBE
Structure: relaxed

formation energy = -0.49 eV per atom
mass density = 7.4 g/cm3
crystal system = trigonal

Unit cell a=4.353 b=4.353 c=10.721 alpha=90.00 beta=90.00 gamma=120.00
Fractional coordinates of all 12 atoms:
1 Rh 0.000 0.000 0.150
2 Rh 0.000 0.000 0.850
3 Rh 0.333 0.667 0.434
4 Rh 0.333 0.667 0.171
5 Rh 0.667 0.333 0.829
6 Rh 0.667 0.333 0.566
7 Al 0.000 0.000 0.381
8 Al 0.000 0.000 0.619
9 Al 0.333 0.667 0.687
10 Al 0.333 0.667 0.942
11 Al 0.667 0.333 0.058
12 Al 0.667 0.333 0.313

---

Compound: Tb3Ce2TmTe6
Source: the Alexandria database
Functional: PBE
Structure: relaxed

mass density = 7.8 g/cm3
formation energy (no corrections) = -1313 meV per atom
crystal system = monoclinic

Unit cell a=4.365 b=8.873 c=9.853 alpha=103.44 beta=102.80 gamma=90.00
Each line ends with the local moment (μB).
Fractional coordinates of all 12 atoms:
1 Tb 0.500 0.500 0.000  0.02
2 Tb 0.830 0.165 0.660  0.01
3 Tb 0.170 0.835 0.340  0.01
4 Ce 0.832 0.663 0.664  0.97
5 Ce 0.168 0.337 0.336  0.97
6 Tm 0.500 0.000 0.000  0.04
7 Te 0.337 0.924 0.673  -0.01
8 Te 0.664 0.590 0.327  -0.01
9 Te 0.663 0.076 0.327  -0.01
10 Te 0.997 0.244 0.994  0.00
11 Te 0.003 0.756 0.006  0.00
12 Te 0.336 0.410 0.673  -0.01

---

no.,final energy (eV/atom)
1,-4.659
2,-3.112
3,-1.001
4,-4.017
5,-6.034
6,-5.403